Record 1
Entry from Alexandria via LeMat-Bulk: a relaxed structure of CeNd5Sb5 (PBE).

a = 14.158 Å, b = 6.346 Å, c = 8.957 Å
α = 90.00°, β = 108.50°, γ = 90.00°
Space group C2/m (No. 12)
Inequivalent atoms, fractional coordinates:
Ce 0.000 0.000 0.000 (multiplicity 2)
Nd 0.000 0.000 0.500 (multiplicity 2)
Nd 0.167 0.500 0.834 (multiplicity 4)
Nd 0.169 0.500 0.333 (multiplicity 4)
Sb 0.000 0.500 0.000 (multiplicity 2)
Sb 0.166 0.000 0.333 (multiplicity 4)
Sb 0.166 0.000 0.833 (multiplicity 4)

## Properties
M_tot, μB/f.u.: 0.77
E_form (uncorrected), eV per atom: -0.982
Calculated total energy, eV per atom: -5.562

***

Record 2
Entry from Alexandria via LeMat-Bulk: a relaxed structure of Ga2GeBiO8 (PBE).

a = 6.455 Å, b = 6.455 Å, c = 6.860 Å
α = 90.00°, β = 90.00°, γ = 90.00°
Space group I-4m2 (No. 119)
Inequivalent atoms, fractional coordinates:
Ga 0.000 0.000 0.000 (multiplicity 2)
Ga 0.000 0.500 0.250 (multiplicity 2)
Ge 0.000 0.500 0.750 (multiplicity 2)
Bi 0.000 0.000 0.500 (multiplicity 2)
O 0.000 0.206 0.804 (multiplicity 8)
O 0.000 0.319 0.454 (multiplicity 8)

## Properties
M_tot, μB/f.u.: 1.06
E_form (uncorrected), eV per atom: -1.039
Calculated total energy, eV per atom: -5.557

***

Record 3
Entry from Alexandria via LeMat-Bulk: a relaxed structure of Cs2ScTa3O12 (PBE).

a = 7.5860 Å, b = 7.5860 Å, c = 18.6913 Å
α = 90.00°, β = 90.00°, γ = 120.00°
Space group R-3m (No. 166, hexagonal axes)
Inequivalent atoms, fractional coordinates:
Cs 0.0000 0.0000 0.1229 (multiplicity 6)
Sc 0.0000 0.0000 0.5000 (multiplicity 3)
Ta 0.0000 0.5000 0.0000 (multiplicity 9)
O 0.0699 0.5349 0.1027 (multiplicity 18)
O 0.0848 0.5424 0.3501 (multiplicity 18)

## Properties
M_tot, μB/f.u.: 4.03
E_form (uncorrected), eV per atom: -2.310
Calculated total energy, eV per atom: -8.037

***

Record 4
Entry from Alexandria via LeMat-Bulk: a relaxed structure of ScCrIn (PBE).

a = 3.334 Å, b = 3.334 Å, c = 10.333 Å
α = 90.00°, β = 90.00°, γ = 90.00°
Space group I4mm (No. 107)
Inequivalent atoms, fractional coordinates:
Sc 0.000 0.000 0.000 (multiplicity 2)
Cr 0.000 0.000 0.350 (multiplicity 2)
In 0.000 0.000 0.695 (multiplicity 2)

## Properties
M_tot, μB/f.u.: 1.98
Calculated formation energy, eV/atom: 0.0405
Calculated total energy, eV per atom: -6.191

***

Record 5
Entry from Alexandria via LeMat-Bulk: a relaxed structure of La3Hg5S12 (PBE).

a = 16.035 Å, b = 16.035 Å, c = 16.035 Å
α = 90.00°, β = 90.00°, γ = 90.00°
Space group Ia-3d (No. 230)
Inequivalent atoms, fractional coordinates:
La 0.000 0.250 0.125 (multiplicity 24)
Hg 0.000 0.000 0.000 (multiplicity 16)
Hg 0.000 0.250 0.375 (multiplicity 24)
S 0.019 0.065 0.652 (multiplicity 96)

## Properties
M_tot, μB/f.u.: 0.00
E_form (uncorrected), eV per atom: -0.642
Calculated total energy, eV per atom: -3.933

***

Record 6
Entry from Alexandria via LeMat-Bulk: a relaxed structure of Li3Ac2ZnPd12 (PBE).

a = 7.8560 Å, b = 7.8560 Å, c = 20.2396 Å
α = 90.00°, β = 90.00°, γ = 120.00°
Space group R-3m (No. 166, hexagonal axes)
Inequivalent atoms, fractional coordinates:
Li 0.0000 0.5000 0.0000 (multiplicity 9)
Ac 0.0000 0.0000 0.1226 (multiplicity 6)
Zn 0.0000 0.0000 0.5000 (multiplicity 3)
Pd 0.0006 0.5003 0.3739 (multiplicity 18)
Pd 0.0080 0.5040 0.8774 (multiplicity 18)

## Properties
M_tot, μB/f.u.: 0.00
Calculated formation energy, eV/atom: -0.1754
Calculated total energy, eV per atom: -4.483

***

Record 7
Entry from Alexandria via LeMat-Bulk: a relaxed structure of SmCd2Pb (PBE).

a = 3.697 Å, b = 3.697 Å, c = 7.988 Å
α = 90.00°, β = 90.00°, γ = 90.00°
Space group P4/mmm (No. 123)
Inequivalent atoms, fractional coordinates:
Sm 0.000 0.000 0.000 (multiplicity 1)
Cd 0.500 0.500 0.253 (multiplicity 2)
Pb 0.000 0.000 0.500 (multiplicity 1)

## Properties
M_tot, μB/f.u.: 0.39
Calculated formation energy, eV/atom: -0.1871
Calculated total energy, eV per atom: -2.752

***

Record 8
Entry from Alexandria via LeMat-Bulk: a relaxed structure of PmYCo (PBE).

a = 3.420 Å, b = 3.420 Å, c = 12.889 Å
α = 90.00°, β = 90.00°, γ = 90.00°
Space group I4mm (No. 107)
Inequivalent atoms, fractional coordinates:
Pm 0.000 0.000 0.000 (multiplicity 2)
Y 0.000 0.000 0.745 (multiplicity 2)
Co 0.000 0.000 0.368 (multiplicity 2)

## Properties
M_tot, μB/f.u.: 0.73
Calculated formation energy, eV/atom: -0.0479
Calculated total energy, eV per atom: -6.155